Te3PbN | PBE-GGA | relaxed

Calculated values
The calculation puts the energy relative to the elements, uncorrected at 0.4975 eV per atom. For the calculated volume, the calculation gives 24.0 A^3/atom. As for the symmetry: Pm-3m, No. 221.

```
Te3PbN
1.0
-0.292 -4.921 0.079
1.588 -0.169 -4.664
4.658 -0.251 1.595
Te N Pb
3 1 1
Direct
0.500 0.000 0.000
0.000 0.500 0.000
0.000 0.000 0.500
0.000 0.000 0.000
0.500 0.500 0.500
```